# YMn3P PBE relaxed
data_YMn3P
_symmetry_space_group_name_H-M 'P m -3 m'
_symmetry_Int_Tables_number 221
_symmetry_space_group_name_Hall '-P 4 2 3'
_cell_length_a 4.883
_cell_length_b 4.883
_cell_length_c 4.883
_cell_angle_alpha 90.00
_cell_angle_beta 90.00
_cell_angle_gamma 90.00
loop_
_atom_site_label
_atom_site_type_symbol
_atom_site_fract_x
_atom_site_fract_y
_atom_site_fract_z
_atom_site_occupancy
Y1 Y 0.000 0.000 0.000 1
Mn1 Mn 0.000 0.000 0.500 1
P1 P 0.500 0.500 0.500 1
# V: 116.4 Å³ per cell
# crystal system: cubic
# calculated density: 4.06 Mg/m³
# DFT formation energy: 1.84 eV/atom
# relative energy among the computed polymorphs: 1.859 eV per atom